The following is a PBE-GGA calculation of a relaxed MnMo2As crystal, from Alexandria.

abc: 3.0215 3.0215 6.3962
angles: 90.00 90.00 90.01
Fractional positions:
Mn  0.5000  0.5000  0.7500
Mo  0.0000  0.0000  0.0019
Mo  0.0000  0.0000  0.4981
As  0.5000  0.5000  0.2500

## Properties
ΔH_f (0 K) in eV per atom: 0.12



The following is a PBE-GGA calculation of a relaxed MnMo2As crystal, from Alexandria.

abc: 3.2302 3.2299 5.6880
angles: 90.00 90.00 90.00
Fractional positions:
Mo  0.0000  0.0000  0.9706
Mo  0.5000  0.5000  0.2706
As  0.0000  0.0000  0.5015
Mn  0.5000  0.5000  0.7574

## Properties
ΔH_f (0 K) in eV per atom: 0.04



| no. | volume (Å³ per atom) |
| --- | --- |
| 1 | 14.60 |
| 2 | 14.84 |